A PBEsol-optimized structure of P2RuAuS. Source: Alexandria via LeMat-Bulk, functional meta-GGA SCAN.

Calculated values
raw formation energy = 0.74 eV/atom

Unit cell a=4.396 b=4.396 c=4.853 alpha=90.00 beta=90.00 gamma=90.00
Element x y z (fractional)
P 0.000 0.500 0.000
P 0.500 0.000 0.000
Ru 0.000 0.000 0.000
Au 0.500 0.500 0.500
S 0.000 0.000 0.500

=====

A PBEsol-optimized structure of BaLi2Mn. Source: Alexandria via LeMat-Bulk, functional meta-GGA SCAN.

Calculated values
energy above the lowest structure with this stoichiometry = 0 meV per atom
formation energy = 252.4 meV/atom

Unit cell a=3.759 b=5.287 c=10.288 alpha=90.00 beta=90.00 gamma=90.00
Element x y z (fractional)
Ba 0.000 0.000 0.000
Ba 0.500 0.500 0.500
Li 0.000 0.500 0.215
Li 0.000 0.500 0.785
Li 0.500 0.000 0.285
Li 0.500 0.000 0.715
Mn 0.000 0.000 0.500
Mn 0.500 0.500 0.000

=====

A PBEsol-optimized structure of LaNbAg2Ru. Source: Alexandria via LeMat-Bulk, functional meta-GGA SCAN.

Calculated values
formation energy = 623.1 meV/atom

Unit cell a=5.102 b=5.102 c=4.592 alpha=90.00 beta=90.00 gamma=90.00
Element x y z (fractional)
La 0.000 0.000 0.000
Nb 0.500 0.500 0.500
Ag 0.000 0.500 0.500
Ag 0.500 0.000 0.500
Ru 0.500 0.500 0.000

=====

A PBEsol-optimized structure of CaMgRu. Source: Alexandria via LeMat-Bulk, functional meta-GGA SCAN.

Calculated values
formation energy = 1183.0 meV/atom

Unit cell a=6.546 b=6.546 c=6.546 alpha=90.00 beta=90.00 gamma=90.00
Element x y z (fractional)
Ca 0.000 0.000 0.000
Ca 0.000 0.500 0.500
Ca 0.500 0.000 0.500
Ca 0.500 0.500 0.000
Mg 0.250 0.250 0.750
Mg 0.250 0.750 0.250
Mg 0.750 0.250 0.250
Mg 0.750 0.750 0.750
Ru 0.250 0.250 0.250
Ru 0.250 0.750 0.750
Ru 0.750 0.250 0.750
Ru 0.750 0.750 0.250

=====

A PBEsol-optimized structure of LiFeF3. Source: Alexandria via LeMat-Bulk, functional meta-GGA SCAN.

Calculated values
energy above the lowest structure with this stoichiometry = 46 meV per atom
raw formation energy = -2.58 eV/atom

Unit cell a=3.096 b=6.196 c=6.196 alpha=110.16 beta=90.00 gamma=90.00
Element x y z (fractional)
Li 0.000 0.000 0.000
Li 0.000 0.453 0.453
Fe 0.500 0.497 0.991
Fe 0.500 0.991 0.497
F 0.000 0.069 0.317
F 0.000 0.317 0.069
F 0.000 0.692 0.951
F 0.000 0.951 0.692
F 0.500 0.356 0.636
F 0.500 0.636 0.356

=====

A PBEsol-optimized structure of VCr2Ni3P6O24. Source: Alexandria via LeMat-Bulk, functional meta-GGA SCAN.

Calculated values
raw formation energy = -2.19 eV/atom

Unit cell a=8.166 b=8.166 c=8.166 alpha=62.53 beta=62.53 gamma=62.53
Element x y z (fractional)
V 0.000 0.000 0.000
Cr 0.145 0.145 0.145
Cr 0.648 0.648 0.648
Ni 0.287 0.287 0.287
Ni 0.506 0.506 0.506
Ni 0.785 0.785 0.785
P 0.104 0.689 0.395
P 0.191 0.595 0.893
P 0.395 0.104 0.689
P 0.595 0.893 0.191
P 0.689 0.395 0.104
P 0.893 0.191 0.595
O 0.035 0.636 0.819
O 0.047 0.212 0.390
O 0.074 0.903 0.236
O 0.127 0.763 0.976
O 0.141 0.539 0.313
O 0.212 0.390 0.047
O 0.236 0.074 0.903
O 0.259 0.668 0.459
O 0.313 0.141 0.539
O 0.390 0.047 0.212
O 0.394 0.600 0.744
O 0.459 0.259 0.668
O 0.539 0.313 0.141
O 0.550 0.894 0.705
O 0.600 0.744 0.394
O 0.636 0.819 0.035
O 0.668 0.459 0.259
O 0.705 0.550 0.894
O 0.744 0.394 0.600
O 0.763 0.976 0.127
O 0.819 0.035 0.636
O 0.894 0.705 0.550
O 0.903 0.236 0.074
O 0.976 0.127 0.763

=====

A PBEsol-optimized structure of Sr2MnIr. Source: Alexandria via LeMat-Bulk, functional meta-GGA SCAN.

Calculated values
energy above the lowest structure with this stoichiometry = 223 meV per atom
formation energy = 202.9 meV/atom

Unit cell a=3.424 b=3.854 c=7.588 alpha=90.00 beta=90.00 gamma=90.00
Element x y z (fractional)
Sr 0.000 0.000 0.220
Sr 0.000 0.000 0.780
Mn 0.500 0.500 0.500
Ir 0.500 0.500 0.000

=====

A PBEsol-optimized structure of MnAsP2. Source: Alexandria via LeMat-Bulk, functional meta-GGA SCAN.

Calculated values
formation energy = 156.2 meV/atom

Unit cell a=2.888 b=2.888 c=6.736 alpha=90.00 beta=90.00 gamma=90.00
Element x y z (fractional)
Mn 0.000 0.000 0.000
As 0.500 0.500 0.763
P 0.000 0.000 0.363
P 0.500 0.500 0.176

=====

Uncorrected energy for every record listed, in sequence, given in eV/atom: -26.137, -15.394, -34.136, -15.305, -8.807, -10.936, -33.273, -14.655.
Total moment for every record listed, in sequence, given in μB per cell: 0.0, 7.3, 0.0, 1.9, 8.0, 11.2, 4.5, 0.0.